Entry 1:
A geometry-optimized Sm5Dy3Er structure. Source: the Alexandria database, functional GGA-PBE.

a = 12.097 Å, b = 12.097 Å, c = 11.541 Å
α = 43.93°, β = 43.93°, γ = 32.28°
Positions (direct):
Sm 0.313 0.687 0.750
Sm 0.081 0.264 0.003
Sm 0.391 0.389 0.170
Sm 0.919 0.736 0.997
Sm 0.611 0.609 0.330
Sm 0.687 0.313 0.250
Sm 0.264 0.081 0.503
Sm 0.736 0.919 0.497
Sm 0.389 0.391 0.670
Sm 0.609 0.611 0.830
Dy 0.000 0.000 0.000
Dy 0.838 0.639 0.394
Dy 0.000 0.000 0.500
Dy 0.162 0.361 0.606
Dy 0.639 0.838 0.894
Dy 0.361 0.162 0.106
Er 0.764 0.236 0.750
Er 0.236 0.764 0.250

- Energy relative to the lowest polymorph listed for this composition: 0 meV per atom
- Total moment: 0.0 μB/cell
- SG: C2/c
- DFT formation energy: 0.174 eV/atom

=====

Entry 2:
A geometry-optimized TbPmMgZr structure. Source: the Alexandria database, functional GGA-PBE.

a = 5.396 Å, b = 5.396 Å, c = 5.396 Å
α = 60.00°, β = 60.00°, γ = 60.00°
Each line ends with the local moment (μB).
Positions (direct):
Mg 0.500 0.500 0.500  -0.01
Tb 0.250 0.250 0.250  0.27
Zr 0.000 0.000 0.000  0.81
Pm 0.750 0.750 0.750  0.18

- Total moment: 1.8 μB/cell
- SG: F-43m
- DFT formation energy: 0.129 eV/atom

=====

Entry 3:
A geometry-optimized Ac3Sn2Bi2Pt4 structure. Source: the Alexandria database, functional GGA-PBE.

a = 4.846 Å, b = 4.846 Å, c = 14.638 Å
α = 90.00°, β = 90.00°, γ = 120.00°
Positions (direct):
Ac 0.000 0.000 0.725
Ac 0.000 0.000 0.000
Ac 0.000 0.000 0.275
Sn 0.667 0.333 0.849
Sn 0.333 0.667 0.151
Bi 0.667 0.333 0.429
Bi 0.333 0.667 0.571
Pt 0.667 0.333 0.131
Pt 0.333 0.667 0.869
Pt 0.667 0.333 0.626
Pt 0.333 0.667 0.374

- Total moment: 0.0 μB/cell
- SG: P-3m1
- DFT formation energy: -0.835 eV/atom

=====

Entry 4:
A geometry-optimized In6Hg7Bi structure. Source: the Alexandria database, functional GGA-PBE.

a = 8.614 Å, b = 8.614 Å, c = 7.778 Å
α = 56.38°, β = 56.38°, γ = 60.00°
Positions (direct):
In 0.884 0.035 0.758
In 0.621 0.343 0.254
In 0.782 0.621 0.254
In 0.035 0.323 0.758
In 0.323 0.884 0.758
In 0.343 0.782 0.254
Hg 0.059 0.214 0.242
Hg 0.458 0.173 0.764
Hg 0.605 0.458 0.764
Hg 0.737 0.737 0.789
Hg 0.214 0.485 0.242
Hg 0.485 0.059 0.242
Hg 0.173 0.605 0.764
Bi 0.917 0.917 0.250

- Total moment: 0.0 μB/cell
- SG: R3
- DFT formation energy: 0.023 eV/atom